Record 1
CdOs2Cl | GGA-PBE | optimized geometry

Values from the calculation:
Crystal system: orthorhombic
Energy relative to the lowest polymorph listed for this composition: 1.007 eV per atom
SG: Pmmm (47)
Total moment: 0.00 μB per formula unit

Unit cell a=2.6961 b=4.6927 c=6.4303 alpha=90.00 beta=90.00 gamma=90.00
Last column: nearest neighbours and their distance in Å.
Atoms (fractional coordinates):
Cd  0.0000  0.0000  0.0000  2 Cd 2.70, 8 Os 2.94
Os  0.5000  0.5000  0.1786  1 Os 2.30
Os  0.5000  0.5000  0.8214  1 Os 2.30
Cl  0.0000  0.0000  0.5000  2 Cl 2.70

Record 2
KTa2GeBi | GGA-PBE | optimized geometry

Values from the calculation:
Crystal system: tetragonal
Formation enthalpy at 0 K: 1.84 eV per atom
SG: P4/mmm (123)
Total moment: 2.53 μB per formula unit

Unit cell a=5.3550 b=5.3550 c=5.8350 alpha=90.00 beta=90.00 gamma=90.00
Last column: nearest neighbours and their distance in Å.
Atoms (fractional coordinates):
K  0.0000  0.0000  0.0000  4 Ge 3.79, 8 Ta 3.96
Ta  0.0000  0.5000  0.5000  2 Bi 2.68
Ta  0.5000  0.0000  0.5000  2 Bi 2.68
Ge  0.5000  0.5000  0.0000  2 Bi 2.92
Bi  0.5000  0.5000  0.5000  4 Ta 2.68, 2 Ge 2.92

Record 3
TbPr6Y5 | GGA-PBE | optimized geometry

Values from the calculation:
Crystal system: monoclinic
Energy relative to the lowest polymorph listed for this composition: 0.000 eV per atom
Formation enthalpy at 0 K: 0.01 eV per atom
SG: C2/m (12)
Total moment: 0.00 μB per formula unit

Unit cell a=6.3301 b=6.3301 c=11.9318 alpha=95.06 beta=95.06 gamma=120.00
Last column: nearest neighbours and their distance in Å.
Atoms (fractional coordinates):
Tb  0.0000  0.0000  0.0000  6 Pr 3.61, 6 Y 3.65-3.66
Pr  0.0831  0.4157  0.2498  1 Tb 3.61, 5 Y 3.61-3.62, 6 Pr 3.65-3.66
Pr  0.2496  0.2496  0.7501  1 Tb 3.61, 5 Y 3.62, 6 Pr 3.65-3.66
Pr  0.4157  0.0831  0.2498  1 Tb 3.61, 5 Y 3.61-3.62, 6 Pr 3.65-3.66
Pr  0.5843  0.9169  0.7502  1 Tb 3.61, 5 Y 3.61-3.62, 6 Pr 3.65-3.66
Pr  0.7504  0.7504  0.2499  1 Tb 3.61, 5 Y 3.62, 6 Pr 3.65-3.66
Pr  0.9169  0.5843  0.7502  1 Tb 3.61, 5 Y 3.61-3.62, 6 Pr 3.65-3.66
Y  0.1667  0.8333  0.5000  6 Pr 3.61-3.62, 6 Y 3.65-3.66
Y  0.3334  0.6666  0.0000  6 Pr 3.62, 3 Y 3.65-3.66, 3 Tb 3.65-3.66
Y  0.5000  0.5000  0.5000  6 Pr 3.62, 6 Y 3.65-3.66
Y  0.6666  0.3334  0.0000  6 Pr 3.62, 3 Y 3.65-3.66, 3 Tb 3.65-3.66
Y  0.8333  0.1667  0.5000  6 Pr 3.61-3.62, 6 Y 3.65-3.66

Record 4
Sm6SiPt2I3 | GGA-PBE | optimized geometry

Values from the calculation:
Crystal system: monoclinic
Final energy: -5.2109 eV/atom
SG: C2/m (12)
Total moment: 0.00 μB per formula unit

Unit cell a=7.4085 b=7.4085 c=8.1951 alpha=98.66 beta=98.66 gamma=120.07
Last column: nearest neighbours and their distance in Å.
Atoms (fractional coordinates):
Sm  0.0953  0.4353  0.8100  2 Pt 2.85-2.86, 1 Si 2.93
Sm  0.2233  0.2233  0.1901  2 Pt 2.87, 1 Si 2.92
Sm  0.4353  0.0953  0.8100  2 Pt 2.85-2.86, 1 Si 2.93
Sm  0.5647  0.9047  0.1900  2 Pt 2.85-2.86, 1 Si 2.93
Sm  0.7767  0.7767  0.8099  2 Pt 2.87, 1 Si 2.92
Sm  0.9047  0.5647  0.1900  2 Pt 2.85-2.86, 1 Si 2.93
Si  0.5000  0.5000  0.0000  6 Sm 2.92-2.93
Pt  0.1672  0.8328  0.0000  6 Sm 2.85-2.87
Pt  0.8328  0.1672  0.0000  6 Sm 2.85-2.87
I  0.0000  0.0000  0.5000  6 Sm 3.42-3.47
I  0.3380  0.6620  0.5000  6 Sm 3.44-3.48
I  0.6620  0.3380  0.5000  6 Sm 3.44-3.48

Record 5
BaCu4P2Pb | GGA-PBE | optimized geometry

Values from the calculation:
Crystal system: tetragonal
Formation enthalpy at 0 K: -0.26 eV per atom
SG: P4/mmm (123)
Total moment: 0.00 μB per formula unit

Unit cell a=4.0823 b=4.0823 c=9.6408 alpha=90.00 beta=90.00 gamma=90.00
Last column: nearest neighbours and their distance in Å.
Atoms (fractional coordinates):
Ba  0.0000  0.0000  0.0000  8 P 3.44, 8 Cu 3.52
Cu  0.0000  0.5000  0.2978  2 P 2.28
Cu  0.0000  0.5000  0.7022  2 P 2.28
Cu  0.5000  0.0000  0.2978  2 P 2.28
Cu  0.5000  0.0000  0.7022  2 P 2.28
P  0.5000  0.5000  0.1933  4 Cu 2.28
P  0.5000  0.5000  0.8067  4 Cu 2.28
Pb  0.0000  0.0000  0.5000  8 Cu 2.82

Record 6
BaCo2Ag | GGA-PBE | optimized geometry

Values from the calculation:
Crystal system: monoclinic
Formation enthalpy at 0 K: 0.93 eV per atom
SG: C2/m (12)
Total moment: 2.66 μB per formula unit

Unit cell a=5.4422 b=5.4422 c=3.1208 alpha=101.02 beta=101.02 gamma=113.82
Last column: nearest neighbours and their distance in Å.
Atoms (fractional coordinates):
Ba  0.0000  0.0000  0.0000  4 Co 2.87, 2 Ag 2.97, 2 Ba 3.12
Co  0.0000  0.5000  0.5000  2 Ba 2.87, 2 Ag 2.87, 4 Co 2.97-3.12
Co  0.5000  0.0000  0.5000  2 Ba 2.87, 2 Ag 2.87, 4 Co 2.97-3.12
Ag  0.5000  0.5000  0.0000  4 Co 2.87, 2 Ba 2.97, 2 Ag 3.12